DFT (PBE-GGA) results for crystalline CsNaAgBi at its relaxed geometry.

Geometry as POSCAR:
```
CsNaAgBi
1.0
-0.3528 -6.3915 -0.9057
2.6426 -1.0249 6.2035
-5.5241 -0.2607 3.9917
Ag Bi Cs Na
2 2 2 2
Direct
0.0000 0.0102 0.0102
0.5000 0.0102 0.0102
0.7500 0.7216 0.2586
0.2500 0.2586 0.7216
0.2500 0.4798 0.1702
0.7500 0.1702 0.4798
0.2500 0.8317 0.5177
0.7500 0.5177 0.8317
```

excess energy over the best structure of this formula in the dataset = 25 kJ/mol of formula units